Entry 1:
Material: BeCd2Fe
Method: DFT, PBE
State: relaxed

Properties
**Electronic total energy**: -3.00 eV/atom
**Formation energy from the elements**: 0.5037 eV per atom
**Space group**: R-3m

Cell: 9.0500 9.0500 9.0500 Å, 18.24 18.24 18.24°
With the nearest neighbours (Å) after each atom.
Atoms (fractional coordinates):
Be 0.0000 0.0000 0.0000  6 Cd 2.70, 6 Be 2.87
Cd 0.2533 0.2533 0.2533  3 Be 2.70, 3 Fe 2.84, 6 Cd 2.87
Cd 0.7467 0.7467 0.7467  3 Be 2.70, 3 Fe 2.84, 6 Cd 2.87
Fe 0.5000 0.5000 0.5000  6 Cd 2.84, 6 Fe 2.87

---

Entry 2:
Material: LaMnTe2
Method: DFT, PBE
State: relaxed

Properties
**Electronic total energy**: -5.60 eV/atom
**Offset from the most stable computed form**: 0.302 eV/atom
**Formation energy without anion corrections**: -0.506 eV per atom
**Space group**: R-3m

Cell: 6.8018 6.8018 6.8018 Å, 36.39 36.39 36.39°
With the nearest neighbours (Å) after each atom.
Atoms (fractional coordinates):
La 0.0000 0.0000 0.0000  6 Te 3.18
Mn 0.5000 0.5000 0.5000  6 Te 2.71
Te 0.2270 0.2270 0.2270  3 Mn 2.71
Te 0.7730 0.7730 0.7730  3 Mn 2.71

---

Entry 3:
Material: SeS3I
Method: DFT, PBE
State: relaxed

Properties
**Electronic total energy**: -2.68 eV/atom
**Offset from the most stable computed form**: 0.444 eV/atom
**Formation energy without anion corrections**: 0.801 eV per atom
**Space group**: Pm-3m

Cell: 4.8639 4.8639 4.8639 Å, 90.00 90.00 90.00°
With the nearest neighbours (Å) after each atom.
Atoms (fractional coordinates):
Se 0.0000 0.0000 0.0000  6 S 2.43
S 0.0000 0.0000 0.5000  2 Se 2.43
S 0.0000 0.5000 0.0000  2 Se 2.43
S 0.5000 0.0000 0.0000  2 Se 2.43
I 0.5000 0.5000 0.5000  12 S 3.44

---

Entry 4:
Material: AcZr2Ag
Method: DFT, PBE
State: relaxed

Properties
**Electronic total energy**: -5.52 eV/atom
**Formation energy from the elements**: 0.4897 eV per atom
**Space group**: R-3m

Cell: 11.4281 11.4281 11.4281 Å, 16.53 16.53 16.53°
With the nearest neighbours (Å) after each atom.
Atoms (fractional coordinates):
Ac 0.0000 0.0000 0.0000  2 Zr 3.27, 6 Ac 3.29
Zr 0.0968 0.0968 0.0968  3 Ag 3.03, 1 Ac 3.27, 6 Zr 3.29
Zr 0.9032 0.9032 0.9032  3 Ag 3.03, 1 Ac 3.27, 6 Zr 3.29
Ag 0.5000 0.5000 0.5000  6 Zr 3.03, 6 Ag 3.29

---

Entry 5:
Material: FeAsSe
Method: DFT, PBE
State: relaxed

Properties
**Electronic total energy**: -5.51 eV/atom
**Formation energy without anion corrections**: 0.017 eV per atom
**Space group**: F-43m

Cell: 4.1050 4.1050 4.1050 Å, 60.00 60.00 60.00°
With the nearest neighbours (Å) after each atom.
Atoms (fractional coordinates):
Fe 0.0000 0.0000 0.0000  4 As 2.51, 4 Se 2.51
As 0.7500 0.7500 0.7500  4 Fe 2.51
Se 0.2500 0.2500 0.2500  4 Fe 2.51

---

Entry 6:
Material: LaCeTh2S4
Method: DFT, PBE
State: relaxed

Properties
**Electronic total energy**: -7.25 eV/atom
**Formation energy without anion corrections**: -1.973 eV per atom
**Space group**: P2/m

Cell: 7.0132 4.0744 7.0470 Å, 90.00 109.51 90.00°
With the nearest neighbours (Å) after each atom.
Atoms (fractional coordinates):
La 0.0000 0.0000 0.0000  6 S 2.89-2.90
Ce 0.5000 0.5000 0.0000  6 S 2.86-2.87
Th 0.0000 0.5000 0.5000  6 S 2.88
Th 0.5000 0.0000 0.5000  6 S 2.85
S 0.2532 0.0000 0.7497  3 Th 2.85-2.88, 2 Ce 2.87, 1 La 2.89
S 0.2544 0.5000 0.2529  3 Th 2.85-2.88, 1 Ce 2.86, 2 La 2.90
S 0.7456 0.5000 0.7471  3 Th 2.85-2.88, 1 Ce 2.86, 2 La 2.90
S 0.7468 0.0000 0.2503  3 Th 2.85-2.88, 2 Ce 2.87, 1 La 2.89